No. 1
First-principles (PBE-GGA) data for crystalline Ho3Er7Tm at its relaxed geometry, as listed in Alexandria via LeMat-Bulk.

Cell: 6.8616 5.4418 9.8003 Å, 90.00 110.22 90.00°
Closest atoms and distances in Å follow each position.
Sites, in units of the cell vectors:
Ho (0.0000, 0.0000, 0.0000)  2 Tm 3.43, 10 Er 3.47-3.75
Ho (0.2788, 0.5000, 0.4984)  1 Ho 3.02, 4 Er 3.29-3.33
Ho (0.7212, 0.5000, 0.5016)  1 Ho 3.02, 4 Er 3.29-3.33
Er (0.0000, 0.0000, 0.5000)  4 Ho 3.33
Er (0.1473, 0.5000, 0.7909)  3 Er 3.21-3.50, 2 Ho 3.29-3.30
Er (0.3200, 0.5000, 0.1398)  5 Er 3.21-3.50, 2 Tm 3.46, 2 Ho 3.47
Er (0.4179, 0.0000, 0.3302)  3 Er 3.12-3.24, 1 Tm 3.47, 4 Ho 3.48
Er (0.5821, 0.0000, 0.6698)  3 Er 3.12-3.24, 1 Tm 3.47, 4 Ho 3.48
Er (0.6800, 0.5000, 0.8602)  5 Er 3.21-3.50, 2 Tm 3.46, 2 Ho 3.47
Er (0.8527, 0.5000, 0.2091)  3 Er 3.21-3.50, 2 Ho 3.29-3.30
Tm (0.5000, 0.0000, 0.0000)  2 Ho 3.43, 10 Er 3.46-3.75

Density of states at the Fermi level in states/eV/f.u.: 18.632
Space-group type: P2/m
ΔE_f in meV/atom: 157
Total magnetic moment in μB/atom: 0.000

---

No. 2
First-principles (PBE-GGA) data for crystalline Zn3CuGe at its relaxed geometry, as listed in Alexandria via LeMat-Bulk.

Cell: 4.8199 4.8199 4.8199 Å, 90.00 90.00 90.00°
Closest atoms and distances in Å follow each position.
Sites, in units of the cell vectors:
Zn (0.0000, 0.0000, 0.5000)  2 Ge 2.41
Zn (0.0000, 0.5000, 0.0000)  2 Ge 2.41
Zn (0.5000, 0.0000, 0.0000)  2 Ge 2.41
Cu (0.5000, 0.5000, 0.5000)  12 Zn 3.41
Ge (0.0000, 0.0000, 0.0000)  6 Zn 2.41

Density of states at the Fermi level in states/eV/f.u.: 1.978
Space-group type: Pm-3m
ΔE_f in meV/atom: 680
Total magnetic moment in μB/atom: 0.000

---

No. 3
First-principles (PBE-GGA) data for crystalline AlZn3Pd4 at its relaxed geometry, as listed in Alexandria via LeMat-Bulk.

Cell: 6.6374 6.6374 4.4460 Å, 109.48 109.48 39.14°
Closest atoms and distances in Å follow each position.
Sites, in units of the cell vectors:
Al (0.0000, 0.0000, 0.0000)  8 Pd 2.65-2.66, 2 Zn 2.93
Zn (0.2509, 0.2509, 0.2512)  8 Pd 2.66-2.68, 1 Zn 2.91, 1 Al 2.93
Zn (0.5000, 0.5000, 0.5000)  8 Pd 2.65, 2 Zn 2.91
Zn (0.7491, 0.7491, 0.7488)  8 Pd 2.66-2.68, 1 Zn 2.91, 1 Al 2.93
Pd (0.1234, 0.1234, 0.6241)  2 Al 2.65-2.66, 6 Zn 2.65-2.68, 2 Pd 2.89-2.96
Pd (0.3766, 0.3766, 0.8767)  6 Zn 2.65-2.68, 2 Al 2.65, 2 Pd 2.89-2.96
Pd (0.6234, 0.6234, 0.1233)  6 Zn 2.65-2.68, 2 Al 2.65, 2 Pd 2.89-2.96
Pd (0.8766, 0.8766, 0.3759)  2 Al 2.65-2.66, 6 Zn 2.65-2.68, 2 Pd 2.89-2.96

Density of states at the Fermi level in states/eV/f.u.: 2.732
Space-group type: C2/m
ΔE_f in meV/atom: -636
Total magnetic moment in μB/atom: 0.000

---

No. 4
First-principles (PBE-GGA) data for crystalline CaLaBe2 at its relaxed geometry, as listed in Alexandria via LeMat-Bulk.

Cell: 3.1706 3.1706 8.6060 Å, 90.00 90.00 90.00°
Closest atoms and distances in Å follow each position.
Sites, in units of the cell vectors:
Ca (0.0000, 0.0000, 0.0000)  5 Be 2.96-3.10, 4 Ca 3.17
La (0.5000, 0.5000, 0.3987)  5 Be 3.04-3.15, 4 La 3.17
Be (0.0000, 0.0000, 0.6562)  4 Be 2.39
Be (0.5000, 0.5000, 0.7519)  4 Be 2.39

Density of states at the Fermi level in states/eV/f.u.: 2.853
Space-group type: P4mm
ΔE_f in meV/atom: 381
Total magnetic moment in μB/atom: 0.000

---

No. 5
First-principles (PBE-GGA) data for crystalline Y2Cd2Br at its relaxed geometry, as listed in Alexandria via LeMat-Bulk.

Cell: 7.6065 7.6065 4.9033 Å, 90.00 90.00 90.00°
Closest atoms and distances in Å follow each position.
Sites, in units of the cell vectors:
Y (0.1614, 0.3386, 0.0000)  2 Br 2.85
Y (0.3386, 0.8386, 0.0000)  2 Br 2.85
Y (0.6614, 0.1614, 0.0000)  2 Br 2.85
Y (0.8386, 0.6614, 0.0000)  2 Br 2.85
Cd (0.1364, 0.6364, 0.5000)  1 Cd 2.93, 2 Y 3.28
Cd (0.3636, 0.1364, 0.5000)  1 Cd 2.93, 2 Y 3.28
Cd (0.6364, 0.8636, 0.5000)  1 Cd 2.93, 2 Y 3.28
Cd (0.8636, 0.3636, 0.5000)  1 Cd 2.93, 2 Y 3.28
Br (0.0000, 0.0000, 0.0000)  4 Y 2.85
Br (0.5000, 0.5000, 0.0000)  4 Y 2.85

VASP energy in eV per atom: -3.825
Density of states at the Fermi level in states/eV/f.u.: 4.701
Space-group type: P4/mbm
Total magnetic moment in μB/atom: 0.000

---

No. 6
First-principles (PBE-GGA) data for crystalline Ba2SiGe at its relaxed geometry, as listed in Alexandria via LeMat-Bulk.

Cell: 7.2381 7.2381 7.2381 Å, 103.10 103.10 123.13°
Closest atoms and distances in Å follow each position.
Sites, in units of the cell vectors:
Ba (0.1209, 0.6250, 0.9959)  2 Si 3.27, 2 Ge 3.32, 2 Ba 3.45
Ba (0.3750, 0.3709, 0.4959)  2 Si 3.27, 2 Ge 3.32, 2 Ba 3.45
Ba (0.6291, 0.1250, 0.0041)  2 Si 3.27, 2 Ge 3.32, 2 Ba 3.45
Ba (0.8750, 0.8791, 0.5041)  2 Si 3.27, 2 Ge 3.32, 2 Ba 3.45
Si (0.0000, 0.0000, 0.0000)  4 Ba 3.27, 2 Ge 3.45
Si (0.7500, 0.2500, 0.5000)  4 Ba 3.27, 2 Ge 3.45
Ge (0.2500, 0.7500, 0.5000)  4 Ba 3.32, 2 Si 3.45
Ge (0.5000, 0.5000, 0.0000)  4 Ba 3.32, 2 Si 3.45

VASP energy in eV per atom: -3.324
Density of states at the Fermi level in states/eV/f.u.: 4.983
Space-group type: I-42d
Total magnetic moment in μB/atom: 0.000

---

No. 7
First-principles (PBE-GGA) data for crystalline LuNbTcIr at its relaxed geometry, as listed in Alexandria via LeMat-Bulk.

Cell: 4.6108 4.6108 4.6108 Å, 60.00 60.00 60.00°
Closest atoms and distances in Å follow each position.
Sites, in units of the cell vectors:
Lu (0.0000, 0.0000, 0.0000)  4 Ir 2.82, 4 Tc 2.82
Nb (0.5000, 0.5000, 0.5000)  4 Tc 2.82, 4 Ir 2.82
Tc (0.2500, 0.2500, 0.2500)  4 Nb 2.82, 4 Lu 2.82
Ir (0.7500, 0.7500, 0.7500)  4 Nb 2.82, 4 Lu 2.82

Density of states at the Fermi level in states/eV/f.u.: 1.663
Space-group type: F-43m
ΔE_f in meV/atom: -479
Total magnetic moment in μB/atom: 0.000

---

No. 8
First-principles (PBE-GGA) data for crystalline PCICl2 at its relaxed geometry, as listed in Alexandria via LeMat-Bulk.

Cell: 5.5485 5.5485 5.4841 Å, 90.00 90.00 90.00°
Closest atoms and distances in Å follow each position.
Sites, in units of the cell vectors:
P (0.0000, 0.0000, 0.0000)  2 I 2.74
C (0.5000, 0.5000, 0.0000)  8 Cl 3.90, 4 P 3.92
I (0.0000, 0.0000, 0.5000)  2 P 2.74, 4 Cl 2.77
Cl (0.0000, 0.5000, 0.5000)  2 I 2.77
Cl (0.5000, 0.0000, 0.5000)  2 I 2.77

VASP energy in eV per atom: -1.934
Density of states at the Fermi level in states/eV/f.u.: 8.418
Space-group type: P4/mmm
Total magnetic moment in μB/atom: 0.772

---

No. 9
First-principles (PBE-GGA) data for crystalline GaSiPd4 at its relaxed geometry, as listed in Alexandria via LeMat-Bulk.

Cell: 7.0498 7.0498 7.0498 Å, 132.01 130.20 71.65°
Closest atoms and distances in Å follow each position.
Sites, in units of the cell vectors:
Ga (0.3775, 0.1275, 0.2500)  8 Pd 2.54-2.55
Ga (0.6225, 0.8725, 0.7500)  8 Pd 2.54-2.55
Si (0.1276, 0.3776, 0.7500)  8 Pd 2.47-2.48
Si (0.8724, 0.6224, 0.2500)  8 Pd 2.47-2.48
Pd (0.0000, 0.2564, 0.2564)  2 Si 2.47, 2 Ga 2.55
Pd (0.0000, 0.7436, 0.7436)  2 Si 2.47, 2 Ga 2.55
Pd (0.2371, 0.0000, 0.7371)  2 Si 2.48, 2 Ga 2.54
Pd (0.2371, 0.5000, 0.2371)  2 Si 2.48, 2 Ga 2.54
Pd (0.5000, 0.2564, 0.7564)  2 Si 2.47, 2 Ga 2.55
Pd (0.5000, 0.7436, 0.2436)  2 Si 2.47, 2 Ga 2.55
Pd (0.7629, 0.0000, 0.2629)  2 Si 2.48, 2 Ga 2.54
Pd (0.7629, 0.5000, 0.7629)  2 Si 2.48, 2 Ga 2.54

VASP energy in eV per atom: -5.462
Density of states at the Fermi level in states/eV/f.u.: 1.573
Space-group type: Imma
Total magnetic moment in μB/atom: 0.000

---

No. 10
First-principles (PBE-GGA) data for crystalline CaTlCu2 at its relaxed geometry, as listed in Alexandria via LeMat-Bulk.

Cell: 3.9073 4.2157 5.4633 Å, 90.00 110.77 90.00°
Closest atoms and distances in Å follow each position.
Sites, in units of the cell vectors:
Ca (0.0000, 0.0000, 0.0000)  7 Cu 2.90-3.03
Tl (0.3023, 0.5000, 0.6072)  7 Cu 2.90-3.01
Cu (0.5930, 0.5000, 0.1862)  2 Cu 2.45
Cu (0.7154, 0.0000, 0.4324)  2 Cu 2.45

Density of states at the Fermi level in states/eV/f.u.: 2.192
Space-group type: Pm
ΔE_f in meV/atom: -41
Total magnetic moment in μB/atom: 0.000

---

No. 11
First-principles (PBE-GGA) data for crystalline RbVZnCl6 at its relaxed geometry, as listed in Alexandria via LeMat-Bulk.

Cell: 6.3947 6.3947 7.3867 Å, 90.00 90.00 120.00°
Closest atoms and distances in Å follow each position.
Sites, in units of the cell vectors:
Rb (0.0000, 0.0000, 0.0000)  6 Cl 3.33
V (0.3333, 0.6667, 0.5000)  6 Cl 2.40
Zn (0.6667, 0.3333, 0.5000)  6 Cl 2.49
Cl (0.0110, 0.3799, 0.6871)  1 V 2.40, 1 Zn 2.49
Cl (0.0110, 0.6311, 0.3129)  1 V 2.40, 1 Zn 2.49
Cl (0.3689, 0.3799, 0.3129)  1 V 2.40, 1 Zn 2.49
Cl (0.3689, 0.9890, 0.6871)  1 V 2.40, 1 Zn 2.49
Cl (0.6201, 0.6311, 0.6871)  1 V 2.40, 1 Zn 2.49
Cl (0.6201, 0.9890, 0.3129)  1 V 2.40, 1 Zn 2.49

VASP energy in eV per atom: -3.848
Density of states at the Fermi level in states/eV/f.u.: 8.851
Space-group type: P312
Total magnetic moment in μB/atom: 0.222

---

No. 12
First-principles (PBE-GGA) data for crystalline HgWSe2 at its relaxed geometry, as listed in Alexandria via LeMat-Bulk.

Cell: 5.7606 5.7606 6.6934 Å, 115.56 115.56 32.44°
Closest atoms and distances in Å follow each position.
Sites, in units of the cell vectors:
Hg (0.0000, 0.0000, 0.0000)  3 W 2.90-3.12, 4 Se 3.20-3.22, 2 Hg 3.22
W (0.7170, 0.7170, 0.9964)  4 Se 2.49
Se (0.2227, 0.2227, 0.7178)  2 W 2.49
Se (0.3744, 0.3744, 0.2755)  2 W 2.49

VASP energy in eV per atom: -5.001
Density of states at the Fermi level in states/eV/f.u.: 1.996
Space-group type: Cm
Total magnetic moment in μB/atom: 0.000

---

Q: Among the records above, which one has the highest total magnetic moment?
A: PCICl2

---

Q: What is the density of states at the Fermi level in the eighth record?
A: 8.418 states/eV/f.u.